SiTeSe2: relaxed, GGA-PBE.

## Properties
polymorph energy (0 for the lowest one) = 0.394 eV per atom
E = -14.7 eV/cell
D(E_F) = 2.1 states/eV per cell
space group = Fmmm, No. 69
formation energy without anion corrections = 209 meV per atom

Cell lengths 5.735, 5.036, 4.996 Å; angles 69.72, 55.47, 54.81 degrees
Sites, in units of the cell vectors:
Si 0.000 0.000 0.000
Te 0.500 0.500 0.500
Se 0.000 0.500 0.500
Se 0.500 0.000 0.000

=====

SiTeSe2: relaxed, GGA-PBE.

## Properties
polymorph energy (0 for the lowest one) = 0.542 eV per atom
E = -14.1 eV/cell
D(E_F) = 2.3 states/eV per cell
space group = I-4m2, No. 119
formation energy without anion corrections = 357 meV per atom

Cell lengths 8.001, 8.001, 8.001 Å; angles 151.92, 151.92, 40.13 degrees
Sites, in units of the cell vectors:
Si 0.000 0.000 0.000
Te 0.250 0.750 0.500
Se 0.500 0.500 0.000
Se 0.750 0.250 0.500

=====

Among the records above, which one has the lowest E? number 1